[1]
MgAuS2N | GGA-PBEsol | optimized geometry

Cell: 3.708 4.973 4.973 Å, 90.00 90.00 90.00°
Sites, in units of the cell vectors:
Mg  0.500  0.500  0.500
S  0.000  0.500  0.000
S  0.000  0.000  0.500
N  0.500  0.000  0.000
Au  0.000  0.000  0.000

**Raw formation energy**: 0.563 eV per atom
**M_tot**: 0.00 μB per cell
**ρ**: 5421 kg/m³

***

[2]
SrMgFeP2O8 | GGA-PBEsol | optimized geometry

Cell: 5.548 6.547 9.323 Å, 109.38 102.89 97.67°
Last column: magnetic moment on the atom in μB.
Sites, in units of the cell vectors:
O  0.374  0.065  0.652  0.10
O  0.027  0.724  0.590  0.02
O  0.239  0.005  0.877  0.01
O  0.640  0.476  0.199  0.01
O  0.761  0.995  0.123  0.01
O  0.616  0.408  0.599  0.05
O  0.349  0.187  0.244  0.05
O  0.360  0.524  0.801  0.01
O  0.651  0.813  0.756  0.05
O  0.845  0.556  0.877  0.01
O  0.626  0.935  0.348  0.10
O  0.384  0.592  0.401  0.05
O  0.155  0.444  0.123  0.01
O  0.943  0.111  0.676  0.05
O  0.973  0.276  0.410  0.02
O  0.057  0.889  0.324  0.05
P  0.854  0.029  0.297  0.01
P  0.146  0.971  0.703  0.01
P  0.611  0.579  0.761  0.01
P  0.389  0.421  0.239  0.01
Mg  0.001  0.420  0.650  0.00
Mg  0.999  0.580  0.350  0.00
Fe  0.604  0.880  0.551  3.54
Fe  0.396  0.120  0.449  3.54
Sr  0.267  0.794  0.056  0.00
Sr  0.733  0.206  0.944  0.00

**Raw formation energy**: -2.419 eV per atom
**M_tot**: 8.00 μB per cell
**ρ**: 3916 kg/m³

***

[3]
AsSeN3 | GGA-PBEsol | optimized geometry

Cell: 3.742 3.742 3.742 Å, 90.00 90.00 90.00°
Sites, in units of the cell vectors:
N  0.000  0.000  0.500
N  0.000  0.500  0.000
N  0.500  0.000  0.000
Se  0.500  0.500  0.500
As  0.000  0.000  0.000

**Raw formation energy**: 1.575 eV per atom
**M_tot**: 0.00 μB per cell
**ρ**: 6207 kg/m³

***

[4]
FePH6NO5 | GGA-PBEsol | optimized geometry

Cell: 4.794 5.652 8.795 Å, 90.00 90.00 95.43°
Last column: magnetic moment on the atom in μB.
Sites, in units of the cell vectors:
O  0.749  0.464  0.829  0.04
O  0.625  0.972  0.370  0.01
O  0.214  0.724  0.868  0.08
O  0.705  0.988  0.801  0.04
O  0.714  0.224  0.132  0.08
O  0.125  0.472  0.630  0.01
O  0.702  0.783  0.111  0.09
O  0.202  0.283  0.889  0.09
O  0.249  0.964  0.171  0.04
O  0.205  0.488  0.199  0.04
N  0.627  0.510  0.473  0.00
N  0.127  0.010  0.527  0.00
P  0.068  0.487  0.803  0.01
P  0.568  0.987  0.197  0.01
H  0.450  0.491  0.545  0.00
H  0.950  0.991  0.455  0.00
H  0.608  0.382  0.389  0.00
H  0.658  0.157  0.803  0.00
H  0.029  0.383  0.179  0.00
H  0.529  0.883  0.821  0.00
H  0.108  0.882  0.611  0.00
H  0.132  0.180  0.577  0.00
H  0.158  0.657  0.197  0.00
H  0.632  0.680  0.423  0.00
H  0.313  0.994  0.464  0.00
H  0.813  0.494  0.536  0.00
Fe  0.012  0.977  0.979  3.57
Fe  0.512  0.477  0.021  3.57

**M_tot**: 8.00 μB per cell
**Polymorph energy (0 for the lowest one)**: 0 meV per atom
**ρ**: 2616 kg/m³

***

[5]
TcSb2C | GGA-PBEsol | optimized geometry

Cell: 5.921 6.076 5.921 Å, 60.84 90.00 119.16°
Last column: magnetic moment on the atom in μB.
Sites, in units of the cell vectors:
Tc  0.750  0.500  0.750  0.50
Tc  0.000  0.000  0.000  0.50
Sb  0.875  0.250  0.570  -0.01
Sb  0.180  0.750  0.875  -0.01
Sb  0.570  0.750  0.375  -0.01
Sb  0.375  0.250  0.180  -0.01
C  0.500  0.000  0.500  0.01
C  0.250  0.500  0.250  0.01

**Raw formation energy**: 1.024 eV per atom
**M_tot**: 1.06 μB per cell
**ρ**: 7606 kg/m³

***

[6]
BiHNF2 | GGA-PBEsol | optimized geometry

Cell: 3.464 3.464 4.040 Å, 90.00 90.00 90.00°
Last column: magnetic moment on the atom in μB.
Sites, in units of the cell vectors:
H  0.000  0.000  0.000  -0.01
F  0.500  0.000  0.000  0.04
F  0.000  0.500  0.000  0.04
N  0.000  0.000  0.500  0.44
Bi  0.500  0.500  0.500  -0.01

**M_tot**: 0.67 μB per cell
**Uncorrected energy**: -4.292 eV/atom
**ρ**: 8976 kg/m³